No. 1
Entry from the Alexandria database: a relaxed structure of Ho2MgPd4 (PBE).

Cell and atoms, written as POSCAR:
```
Ho2MgPd4
1.0
-2.0729 4.0903 0.3910
-4.5884 -0.2354 -0.1338
-0.8198 -0.4145 7.3603
Pd Mg Ho
4 1 2
direct
0.9133 0.9143 0.3545 Pd
0.0867 0.0857 0.6455 Pd
0.6509 0.6510 0.1079 Pd
0.3491 0.3490 0.8921 Pd
0.0000 0.0000 0.0000 Mg
0.7034 0.7030 0.7059 Ho
0.2966 0.2970 0.2941 Ho
```

## Properties
ΔE_f, eV per atom: -0.73
Total moment, μB/cell: 0.00

No. 2
Entry from the Alexandria database: a relaxed structure of PmHo2MgPd4 (PBE).

Cell and atoms, written as POSCAR:
```
PmHo2MgPd4
1.0
-0.5720 3.1313 3.6919
-3.2600 -0.9309 3.5026
4.3590 -3.1921 6.6008
Pd Pm Mg Ho
4 1 1 2
direct
0.1253 0.1253 0.6242 Pd
0.3810 0.3810 0.8569 Pd
0.8747 0.8747 0.3758 Pd
0.6190 0.6190 0.1431 Pd
0.0000 0.0000 0.0000 Pm
0.5000 0.5000 0.5000 Mg
0.7558 0.7558 0.7325 Ho
0.2442 0.2442 0.2675 Ho
```

## Properties
ΔE_f, eV per atom: -0.81
Total moment, μB/cell: 0.00

No. 3
Entry from the Alexandria database: a relaxed structure of HoMgPdPt (PBE).

Cell and atoms, written as POSCAR:
```
HoMgPdPt
1.0
-1.7476 4.4114 -0.1430
-2.9103 1.2870 -3.5226
-4.6024 0.7595 0.8813
Ho Pd Pt Mg
1 1 1 1
direct
0.2500 0.2500 0.2500 Ho
0.5000 0.5000 0.5000 Pd
0.0000 0.0000 0.0000 Pt
0.7500 0.7500 0.7500 Mg
```

## Properties
ΔE_f, eV per atom: -0.96
Total moment, μB/cell: 0.00